Density functional theory data (GGA-PBE) for TcHgP2 after structural relaxation.

## Properties
For the total energy, the calculation gives -17.83 eV for the cell shown. Its formation energy is 353 kJ/mol of formula units. As for the space group: No. 216.

abc: 4.5291 4.5291 4.5291
angles: 60.00 60.00 60.00
Last column: nearest neighbours and their distance in Å.
Atoms (fractional coordinates):
P: 0.2500 0.2500 0.2500  4 Hg 2.77, 4 P 2.77
P: 0.0000 0.0000 0.0000  4 Tc 2.77, 4 P 2.77
Tc: 0.7500 0.7500 0.7500  4 Hg 2.77, 4 P 2.77
Hg: 0.5000 0.5000 0.5000  4 Tc 2.77, 4 P 2.77

***

Density functional theory data (GGA-PBE) for TcHgP2 after structural relaxation.

## Properties
For the total energy, the calculation gives -19.48 eV for the cell shown. Its formation energy is 194 kJ/mol of formula units. As for the space group: No. 35.

abc: 3.0021 3.0021 8.3043
angles: 90.00 90.00 116.59
Last column: nearest neighbours and their distance in Å.
Atoms (fractional coordinates):
Tc: 0.0000 0.0000 0.4561  2 P 2.30
P: 0.0000 0.0000 0.0389  2 P 2.39
P: 0.5000 0.5000 0.2550  2 Tc 2.30, 2 P 2.39
Hg: 0.5000 0.5000 0.7500  2 P 2.87, 2 Tc 2.91, 6 Hg 3.00-3.16

***

Density functional theory data (GGA-PBE) for Tc2HgP2 after structural relaxation.

## Properties
The value obtained for the excess energy over the best structure of this formula in the dataset is 0.000 kcal/mol of atoms. For the total energy, the calculation gives -32.51 eV for the cell shown. Its formation energy is -63 kJ/mol of formula units. As for the space group: No. 139.

abc: 3.5786 3.5786 6.6628
angles: 74.42 74.42 90.00
Last column: nearest neighbours and their distance in Å.
Atoms (fractional coordinates):
Tc: 0.6249 0.6249 0.7502  4 P 2.36
Tc: 0.3751 0.3751 0.2498  4 P 2.36
P: 0.7500 0.2500 0.5000  4 Tc 2.36, 4 P 2.53
P: 0.2500 0.7500 0.5000  4 Tc 2.36, 4 P 2.53
Hg: 0.0000 0.0000 0.0000  8 Tc 2.96

***

Density functional theory data (GGA-PBE) for TcHgP2 after structural relaxation.

## Properties
For the total energy, the calculation gives -21.48 eV for the cell shown. Its formation energy is 1 kJ/mol of formula units. As for the space group: No. 8.

abc: 4.3521 4.3521 6.3862
angles: 74.02 74.02 41.41
Last column: nearest neighbours and their distance in Å.
Atoms (fractional coordinates):
P: 0.8311 0.8311 0.6320  3 Tc 2.33-2.35
P: 0.9738 0.9738 0.9594  2 Tc 2.35
Hg: 0.1592 0.1592 0.2409  1 P 2.67
Tc: 0.5358 0.5358 0.6677  5 P 2.33-2.35

***

Density functional theory data (GGA-PBE) for Tc2HgP after structural relaxation.

## Properties
The value obtained for the excess energy over the best structure of this formula in the dataset is 11.128 kcal/mol of atoms. For the total energy, the calculation gives -24.47 eV for the cell shown. Its formation energy is 190 kJ/mol of formula units. As for the space group: No. 225.

abc: 4.4154 4.4154 4.4154
angles: 60.00 60.00 60.00
Last column: nearest neighbours and their distance in Å.
Atoms (fractional coordinates):
Tc: 0.2500 0.2500 0.2500  4 Hg 2.70, 4 P 2.70
Tc: 0.7500 0.7500 0.7500  4 Hg 2.70, 4 P 2.70
Hg: 0.5000 0.5000 0.5000  8 Tc 2.70
P: 0.0000 0.0000 0.0000  8 Tc 2.70

***

Density functional theory data (GGA-PBE) for Tc2HgP after structural relaxation.

## Properties
The value obtained for the excess energy over the best structure of this formula in the dataset is 5.907 kcal/mol of atoms. For the total energy, the calculation gives -25.38 eV for the cell shown. Its formation energy is 103 kJ/mol of formula units. As for the space group: No. 8.

abc: 4.3999 4.3999 6.0064
angles: 77.49 77.49 40.04
Last column: nearest neighbours and their distance in Å.
Atoms (fractional coordinates):
Hg: 0.5085 0.5085 0.4907  5 Tc 2.91-2.98, 2 Hg 3.01
Tc: 0.2711 0.2711 0.1864  2 P 2.33
Tc: 0.0015 0.0015 0.9066  3 P 2.32-2.36
P: 0.7189 0.7189 0.9163  5 Tc 2.32-2.36

***

Density functional theory data (GGA-PBE) for TcHgP2 after structural relaxation.

## Properties
For the total energy, the calculation gives -20.17 eV for the cell shown. Its formation energy is 127 kJ/mol of formula units. As for the space group: No. 10.

abc: 4.3680 3.3624 5.5591
angles: 73.71 90.00 90.00
Last column: nearest neighbours and their distance in Å.
Atoms (fractional coordinates):
P: 0.0000 0.0640 0.1140  2 P 2.22-2.23, 2 Tc 2.45
P: 0.0000 0.4360 0.3860  2 P 2.22-2.23, 2 Tc 2.45
Hg: 0.5000 0.7500 0.7500  2 Tc 2.82
Tc: 0.5000 0.2500 0.2500  4 P 2.45

***

Density functional theory data (GGA-PBE) for TcHg4P after structural relaxation.

## Properties
For the total energy, the calculation gives -10.98 eV for the cell shown. Its formation energy is 579 kJ/mol of formula units. As for the space group: No. 216.

abc: 5.6952 5.6952 5.6952
angles: 60.00 60.00 60.00
Last column: nearest neighbours and their distance in Å.
Atoms (fractional coordinates):
Hg: 0.3749 0.8754 0.3749  6 Hg 2.84-2.85
Hg: 0.3749 0.3749 0.8754  6 Hg 2.84-2.85
Hg: 0.3749 0.3749 0.3749  6 Hg 2.84-2.85
Hg: 0.8754 0.3749 0.3749  6 Hg 2.84-2.85
Tc: 0.0000 0.0000 0.0000  12 Hg 3.34, 4 P 3.49
P: 0.7500 0.7500 0.7500  12 Hg 3.34, 4 Tc 3.49

***

no.,Fermi-level density of states (states/eV/cell),size of the total moment (Bohr magnetons per cell)
1,4.15,0.0
2,2.50,0.0
3,0.09,0.0
4,2.93,0.0
5,4.12,0.0
6,4.05,0.3
7,2.67,0.8
8,4.92,2.0